Density functional theory data (meta-GGA SCAN) for CaNiS2N at its PBEsol-relaxed geometry.

Raw formation energy, eV/atom: -0.427

Structure (extended XYZ):
```
5
Lattice="3.465 0.000 0.000 0.000 4.737 0.000 0.000 0.000 4.737" Properties=species:S:1:pos:R:3 pbc="T T T"
Ni 0.000 0.000 0.000
Ca 1.732 2.369 2.369
S 0.000 0.000 2.369
S 0.000 2.369 0.000
N 1.732 0.000 0.000
```

=====

Density functional theory data (meta-GGA SCAN) for CdHg2Os at its PBEsol-relaxed geometry.

Energy of formation from the pure elements, eV/atom: 0.600

Structure (extended XYZ):
```
4
Lattice="2.834 0.006 0.000 -1.408 2.460 0.000 0.000 0.000 11.237" Properties=species:S:1:pos:R:3 pbc="T T T"
Cd 0.713 1.233 3.148
Hg 0.000 0.000 0.056
Hg 0.713 1.233 8.081
Os 0.000 0.000 5.570
```

=====

So what do the calculations give for VASP energy? Going down the list: -11.3039 -59.0569 eV per atom.